No. 1
Here is a geometry-optimized SrAg2Br4 structure from Alexandria via LeMat-Bulk. Energies are from PBE-GGA.

Properties
**SG**: P-42m
**Formation energy (no corrections)**: -1.0224 eV/atom
**Fermi-level density of states**: 0.000 states/eV/atom
**Distance to the lowest polymorph of the same formula**: 1.42 kcal/mol of atoms
**ρ**: 3.92 g/cm³

a = 6.2579 Å, b = 6.2579 Å, c = 6.7412 Å
α = 90.00°, β = 90.00°, γ = 90.00°
Positions (direct):
Sr1 0.0000 0.0000 0.0000
Ag1 0.5000 0.0000 0.5000
Ag2 0.0000 0.5000 0.5000
Br1 0.7328 0.2672 0.7368
Br2 0.2672 0.2672 0.2632
Br3 0.2672 0.7328 0.7368
Br4 0.7328 0.7328 0.2632

***

No. 2
Here is a geometry-optimized Pr3ZnHg structure from Alexandria via LeMat-Bulk. Energies are from PBE-GGA.

Properties
**SG**: C2/c
**Fermi-level density of states**: 0.954 states/eV/atom
**Distance to the lowest polymorph of the same formula**: 1.46 kcal/mol of atoms
**Energy of formation from the pure elements**: -0.2282 eV per atom
**ρ**: 7.82 g/cm³

a = 7.0127 Å, b = 9.9552 Å, c = 9.9552 Å
α = 57.37°, β = 91.84°, γ = 91.84°
Positions (direct):
Pr1 0.5049 0.3168 0.8189
Pr2 0.9951 0.1811 0.6832
Pr3 0.4951 0.6832 0.1811
Pr4 0.0049 0.8189 0.3168
Pr5 0.9701 0.7678 0.9209
Pr6 0.5299 0.0791 0.2322
Pr7 0.0299 0.2322 0.0791
Pr8 0.4701 0.9209 0.7678
Pr9 0.4812 0.2799 0.4007
Pr10 0.0188 0.5993 0.7201
Pr11 0.5188 0.7201 0.5993
Pr12 0.9812 0.4007 0.2799
Zn1 0.6803 0.4847 0.0026
Zn2 0.8197 0.9974 0.5153
Zn3 0.3197 0.5153 0.9974
Zn4 0.1803 0.0026 0.4847
Hg1 0.2500 0.9997 0.0003
Hg2 0.7500 0.0003 0.9997
Hg3 0.2500 0.5007 0.4993
Hg4 0.7500 0.4993 0.5007

***

No. 3
Here is a geometry-optimized LiNpTl2Se4 structure from Alexandria via LeMat-Bulk. Energies are from PBE-GGA.

Properties
**SG**: P2/m
**Formation energy (no corrections)**: -0.8005 eV/atom
**Fermi-level density of states**: 0.555 states/eV/atom
**ρ**: 7.26 g/cm³

a = 4.1791 Å, b = 7.9793 Å, c = 6.9440 Å
α = 73.16°, β = 90.00°, γ = 90.00°
Site moments in Bohr magnetons follow the coordinates.
Positions (direct):
Li1 0.5000 0.5000 0.0000  0.00
Np1 0.0000 0.5000 0.5000  2.82
Tl1 0.0000 0.0000 0.0000  -0.02
Tl2 0.5000 0.0000 0.5000  -0.03
Se1 0.0000 0.6999 0.7500  -0.15
Se2 0.0000 0.3001 0.2500  -0.15
Se3 0.5000 0.6991 0.2723  -0.11
Se4 0.5000 0.3009 0.7277  -0.11

***

No. 4
Here is a geometry-optimized HoBe3Co structure from Alexandria via LeMat-Bulk. Energies are from PBE-GGA.

Properties
**SG**: Pm-3m
**Fermi-level density of states**: 0.421 states/eV/atom
**Energy of formation from the pure elements**: -0.0930 eV per atom
**ρ**: 6.23 g/cm³

a = 4.0600 Å, b = 4.0600 Å, c = 4.0600 Å
α = 90.00°, β = 90.00°, γ = 90.00°
Positions (direct):
Be1 0.0000 0.5000 0.0000
Be2 0.0000 0.0000 0.5000
Be3 0.5000 0.0000 0.0000
Co1 0.0000 0.0000 0.0000
Ho1 0.5000 0.5000 0.5000